Record 1
TcAgF3 | PBE | optimized geometry

Values from the calculation:
Distance to the lowest polymorph of the same formula ... 0.6138 eV per atom
Total energy ... -20.72 eV per cell
Raw formation energy ... -0.378 eV per atom
N(E_F) ... 5.42 states/eV per cell
Magnetic moment ... 4.859 μB/f.u.

Cell: 4.406 4.406 4.406 Å, 90.00 90.00 90.00°
Site moments in Bohr magnetons follow the coordinates.
Fractional coordinates of all 5 atoms:
Tc  0.500  0.500  0.500  4.07
Ag  0.000  0.000  0.000  0.05
F  0.000  0.500  0.000  0.05
F  0.000  0.000  0.500  0.03
F  0.500  0.000  0.000  0.04

***

Record 2
TcAg2F7 | PBE | optimized geometry

Values from the calculation:
Total energy ... -91.09 eV per cell
Raw formation energy ... -1.638 eV per atom
Magnetic moment ... 2.000 μB/f.u.

Cell: 6.461 7.292 7.838 Å, 74.28 65.66 63.71°
Site moments in Bohr magnetons follow the coordinates.
Fractional coordinates of all 20 atoms:
Tc  0.871  0.250  0.750  1.58
Tc  0.129  0.750  0.250  1.58
Ag  0.608  0.896  0.719  0.00
Ag  0.776  0.396  0.219  0.00
Ag  0.224  0.604  0.781  0.00
Ag  0.392  0.104  0.281  0.00
F  0.637  0.539  0.769  0.03
F  0.055  0.039  0.269  0.03
F  0.253  0.834  0.980  0.07
F  0.234  0.122  0.643  0.03
F  0.565  0.250  0.750  0.02
F  0.933  0.334  0.480  0.07
F  0.998  0.378  0.857  0.03
F  0.002  0.622  0.143  0.03
F  0.067  0.666  0.520  0.07
F  0.435  0.750  0.250  0.02
F  0.766  0.878  0.357  0.03
F  0.747  0.166  0.020  0.07
F  0.945  0.961  0.731  0.03
F  0.363  0.461  0.231  0.03

***

Record 3
Tc2AgF | PBE | optimized geometry

Values from the calculation:
Distance to the lowest polymorph of the same formula ... 0.0000 eV per atom
Total energy ... -47.53 eV per cell
Raw formation energy ... 0.423 eV per atom
N(E_F) ... 6.74 states/eV per cell
Magnetic moment ... 0.000 μB/f.u.

Cell: 3.471 3.471 10.848 Å, 80.79 80.79 90.00°
Fractional coordinates of all 8 atoms:
Tc  0.124  0.125  0.250
Tc  0.626  0.625  0.250
Tc  0.375  0.876  0.750
Tc  0.875  0.374  0.750
Ag  0.000  0.000  0.000
Ag  0.750  0.250  0.500
F  0.500  0.500  0.000
F  0.250  0.750  0.500

***

Record 4
Tc2AgF | PBE | optimized geometry

Values from the calculation:
Distance to the lowest polymorph of the same formula ... 0.3989 eV per atom
Total energy ... -22.17 eV per cell
Raw formation energy ... 0.822 eV per atom
N(E_F) ... 7.10 states/eV per cell
Magnetic moment ... 0.002 μB/f.u.

Cell: 4.340 4.340 4.340 Å, 60.00 60.00 60.00°
Fractional coordinates of all 4 atoms:
Tc  0.250  0.250  0.250
Tc  0.750  0.750  0.750
Ag  0.500  0.500  0.500
F  0.000  0.000  0.000

***

Record 5
Tc2AgF8 | PBE | optimized geometry

Values from the calculation:
Distance to the lowest polymorph of the same formula ... 0.0000 eV per atom
Total energy ... -57.64 eV per cell
Raw formation energy ... -1.735 eV per atom
N(E_F) ... 0.41 states/eV per cell
Magnetic moment ... 5.000 μB/f.u.

Cell: 5.568 6.278 6.278 Å, 57.82 95.37 95.37°
Site moments in Bohr magnetons follow the coordinates.
Fractional coordinates of all 11 atoms:
Tc  0.501  0.745  0.745  2.04
Tc  0.499  0.255  0.255  2.04
Ag  0.000  0.000  0.000  0.00
F  0.327  0.391  0.903  0.03
F  0.673  0.097  0.609  0.03
F  0.241  0.852  0.852  0.10
F  0.759  0.148  0.148  0.10
F  0.327  0.903  0.391  0.03
F  0.673  0.609  0.097  0.03
F  0.750  0.639  0.639  0.15
F  0.250  0.361  0.361  0.15

***

Record 6
TcAgF6 | PBE | optimized geometry

Values from the calculation:
Distance to the lowest polymorph of the same formula ... 0.0000 eV per atom
Total energy ... -38.98 eV per cell
Raw formation energy ... -1.817 eV per atom
N(E_F) ... 10.02 states/eV per cell
Magnetic moment ... 2.000 μB/f.u.

Cell: 5.042 5.042 5.243 Å, 74.17 74.17 81.71°
Site moments in Bohr magnetons follow the coordinates.
Fractional coordinates of all 8 atoms:
Tc  0.000  0.000  0.000  1.64
Ag  0.500  0.500  0.500  -0.05
F  0.134  0.727  0.279  0.05
F  0.727  0.134  0.279  0.05
F  0.273  0.866  0.721  0.05
F  0.866  0.273  0.721  0.05
F  0.255  0.255  0.980  0.05
F  0.745  0.745  0.020  0.05

***

Record 7
TcAg6F12 | PBE | optimized geometry

Values from the calculation:
Total energy ... -76.24 eV per cell
Raw formation energy ... -1.385 eV per atom
N(E_F) ... 9.05 states/eV per cell
Magnetic moment ... 0.920 μB/f.u.

Cell: 6.827 6.827 6.827 Å, 98.05 98.05 98.05°
Site moments in Bohr magnetons follow the coordinates.
Fractional coordinates of all 19 atoms:
Tc  0.000  0.000  0.000  2.11
Ag  0.681  0.858  0.400  -0.19
Ag  0.600  0.319  0.142  -0.19
Ag  0.142  0.600  0.319  -0.19
Ag  0.319  0.142  0.600  -0.19
Ag  0.400  0.681  0.858  -0.19
Ag  0.858  0.400  0.681  -0.19
F  0.834  0.592  0.397  -0.07
F  0.397  0.834  0.592  -0.07
F  0.592  0.397  0.834  -0.07
F  0.166  0.408  0.603  -0.07
F  0.603  0.166  0.408  -0.07
F  0.408  0.603  0.166  -0.07
F  0.064  0.977  0.282  0.04
F  0.023  0.718  0.936  0.04
F  0.718  0.936  0.023  0.04
F  0.936  0.023  0.718  0.04
F  0.977  0.282  0.064  0.04
F  0.282  0.064  0.977  0.04

***

Record 8
TcAg2F5 | PBE | optimized geometry

Values from the calculation:
Total energy ... -73.71 eV per cell
Raw formation energy ... -1.429 eV per atom
N(E_F) ... 1.75 states/eV per cell
Magnetic moment ... 3.116 μB/f.u.

Cell: 4.015 5.625 15.101 Å, 90.00 90.00 110.91°
Site moments in Bohr magnetons follow the coordinates.
Fractional coordinates of all 16 atoms:
Tc  0.919  0.838  0.750  2.52
Tc  0.081  0.162  0.250  2.52
Ag  0.766  0.532  0.437  0.01
Ag  0.766  0.532  0.063  0.01
Ag  0.234  0.468  0.563  0.01
Ag  0.234  0.468  0.937  0.01
F  0.045  0.090  0.843  0.10
F  0.045  0.090  0.657  0.10
F  0.215  0.430  0.343  0.06
F  0.215  0.430  0.157  0.06
F  0.590  0.179  0.250  0.06
F  0.410  0.821  0.750  0.06
F  0.785  0.570  0.657  0.06
F  0.785  0.570  0.843  0.06
F  0.955  0.910  0.157  0.10
F  0.955  0.910  0.343  0.10

***

Record 9
Tc2AgF2 | PBE | optimized geometry

Values from the calculation:
Distance to the lowest polymorph of the same formula ... 0.0000 eV per atom
Total energy ... -27.00 eV per cell
Raw formation energy ... 0.066 eV per atom
N(E_F) ... 4.53 states/eV per cell
Magnetic moment ... 0.000 μB/f.u.

Cell: 3.421 3.421 7.063 Å, 75.99 75.99 90.00°
Fractional coordinates of all 5 atoms:
Tc  0.750  0.250  0.500
Tc  0.250  0.750  0.500
Ag  0.000  0.000  0.000
F  0.400  0.400  0.200
F  0.600  0.600  0.800

***

Record 10
Tc2AgF2 | PBE | optimized geometry

Values from the calculation:
Distance to the lowest polymorph of the same formula ... 0.1232 eV per atom
Total energy ... -52.76 eV per cell
Raw formation energy ... 0.189 eV per atom
N(E_F) ... 6.11 states/eV per cell
Magnetic moment ... 3.755 μB/f.u.

Cell: 7.469 7.469 2.521 Å, 90.00 90.00 90.00°
Site moments in Bohr magnetons follow the coordinates.
Fractional coordinates of all 10 atoms:
Tc  0.193  0.693  0.500  1.66
Tc  0.693  0.807  0.500  1.63
Tc  0.807  0.307  0.500  1.66
Tc  0.307  0.193  0.500  1.63
Ag  0.000  0.000  0.000  0.04
Ag  0.500  0.500  0.000  0.04
F  0.384  0.884  0.000  0.07
F  0.884  0.616  0.000  0.07
F  0.616  0.116  0.000  0.07
F  0.116  0.384  0.000  0.07

***

Record 11
TcAgF3 | PBE | optimized geometry

Values from the calculation:
Distance to the lowest polymorph of the same formula ... 0.0000 eV per atom
Total energy ... -23.79 eV per cell
Raw formation energy ... -0.992 eV per atom
N(E_F) ... 3.32 states/eV per cell
Magnetic moment ... 3.706 μB/f.u.

Cell: 4.310 4.310 4.310 Å, 90.00 90.00 90.00°
Site moments in Bohr magnetons follow the coordinates.
Fractional coordinates of all 5 atoms:
Tc  0.000  0.000  0.000  3.20
Ag  0.500  0.500  0.500  0.00
F  0.000  0.500  0.000  0.07
F  0.000  0.000  0.500  0.05
F  0.500  0.000  0.000  0.10

***

Record 12
Tc2AgF8 | PBE | optimized geometry

Values from the calculation:
Distance to the lowest polymorph of the same formula ... 0.0479 eV per atom
Total energy ... -57.11 eV per cell
Raw formation energy ... -1.687 eV per atom
N(E_F) ... 1.24 states/eV per cell
Magnetic moment ... 5.832 μB/f.u.

Cell: 4.285 6.550 7.721 Å, 126.23 89.90 90.99°
Site moments in Bohr magnetons follow the coordinates.
Fractional coordinates of all 11 atoms:
Tc  0.250  0.230  0.615  2.36
Tc  0.750  0.770  0.385  2.36
Ag  0.000  0.000  0.000  0.01
F  0.251  0.806  0.404  0.03
F  0.749  0.194  0.596  0.03
F  0.750  0.786  0.143  0.12
F  0.252  0.210  0.355  0.12
F  0.255  0.590  0.794  0.09
F  0.250  0.214  0.857  0.12
F  0.748  0.790  0.645  0.12
F  0.745  0.410  0.206  0.09

***

Record 13
TcAg2F6 | PBE | optimized geometry

Values from the calculation:
Distance to the lowest polymorph of the same formula ... 0.0000 eV per atom
Total energy ... -84.69 eV per cell
Raw formation energy ... -1.672 eV per atom
Magnetic moment ... 3.000 μB/f.u.

Cell: 5.318 5.318 10.707 Å, 90.00 90.00 90.00°
Site moments in Bohr magnetons follow the coordinates.
Fractional coordinates of all 18 atoms:
Tc  0.500  0.500  0.000  2.43
Tc  0.000  0.000  0.500  2.43
Ag  0.500  0.500  0.339  0.01
Ag  0.500  0.500  0.661  0.01
Ag  0.000  0.000  0.161  0.01
Ag  0.000  0.000  0.839  0.01
F  0.678  0.678  0.136  0.06
F  0.678  0.678  0.864  0.06
F  0.738  0.738  0.500  0.06
F  0.762  0.238  0.000  0.06
F  0.822  0.178  0.364  0.06
F  0.822  0.178  0.636  0.06
F  0.178  0.822  0.364  0.06
F  0.178  0.822  0.636  0.06
F  0.238  0.762  0.000  0.06
F  0.262  0.262  0.500  0.06
F  0.322  0.322  0.136  0.06
F  0.322  0.322  0.864  0.06

***

Record 14
TcAg2F | PBE | optimized geometry

Values from the calculation:
Distance to the lowest polymorph of the same formula ... 0.1073 eV per atom
Total energy ... -16.15 eV per cell
Raw formation energy ... 0.449 eV per atom
N(E_F) ... 1.92 states/eV per cell
Magnetic moment ... 3.618 μB/f.u.

Cell: 4.571 4.571 4.571 Å, 60.00 60.00 60.00°
Site moments in Bohr magnetons follow the coordinates.
Fractional coordinates of all 4 atoms:
Tc  0.500  0.500  0.500  3.05
Ag  0.250  0.250  0.250  0.10
Ag  0.750  0.750  0.750  0.10
F  0.000  0.000  0.000  0.05

***

Record 15
TcAg2F6 | PBE | optimized geometry

Values from the calculation:
Distance to the lowest polymorph of the same formula ... 0.0090 eV per atom
Total energy ... -84.53 eV per cell
Raw formation energy ... -1.663 eV per atom
Magnetic moment ... 3.000 μB/f.u.

Cell: 6.124 6.044 9.121 Å, 90.00 90.04 90.00°
Site moments in Bohr magnetons follow the coordinates.
Fractional coordinates of all 18 atoms:
Tc  0.500  0.500  0.000  2.43
Tc  0.000  0.000  0.500  2.43
Ag  0.000  0.500  0.787  0.01
Ag  0.500  0.000  0.713  0.01
Ag  0.500  0.000  0.287  0.01
Ag  0.000  0.500  0.213  0.01
F  0.866  0.813  0.346  0.06
F  0.866  0.813  0.653  0.06
F  0.773  0.671  0.000  0.06
F  0.727  0.171  0.500  0.06
F  0.634  0.313  0.847  0.06
F  0.634  0.313  0.154  0.06
F  0.134  0.187  0.654  0.06
F  0.134  0.187  0.347  0.06
F  0.227  0.329  0.000  0.06
F  0.273  0.829  0.500  0.06
F  0.366  0.687  0.153  0.06
F  0.366  0.687  0.846  0.06

***

Record 16
TcAg2F | PBE | optimized geometry

Values from the calculation:
Distance to the lowest polymorph of the same formula ... 0.0000 eV per atom
Total energy ... -33.15 eV per cell
Raw formation energy ... 0.341 eV per atom
N(E_F) ... 2.01 states/eV per cell
Magnetic moment ... 3.882 μB/f.u.

Cell: 7.227 7.227 5.765 Å, 51.18 51.18 90.00°
Site moments in Bohr magnetons follow the coordinates.
Fractional coordinates of all 8 atoms:
Tc  0.000  0.000  0.000  3.31
Tc  0.750  0.250  0.500  3.30
Ag  0.584  0.125  0.250  0.08
Ag  0.166  0.625  0.250  0.07
Ag  0.375  0.416  0.750  0.08
Ag  0.875  0.834  0.750  0.07
F  0.500  0.500  0.000  0.08
F  0.250  0.750  0.500  0.08

***

Record 17
TlTcAgF6 | PBE | optimized geometry

Values from the calculation:
Total energy ... -86.74 eV per cell
Raw formation energy ... -1.840 eV per atom
N(E_F) ... 0.00 states/eV per cell
Magnetic moment ... 3.000 μB/f.u.

Cell: 6.464 6.464 8.499 Å, 90.00 90.00 120.00°
Site moments in Bohr magnetons follow the coordinates.
Fractional coordinates of all 18 atoms:
Tl  0.333  0.667  0.250  0.00
Tl  0.667  0.333  0.750  0.00
Tc  0.667  0.333  0.250  2.41
Tc  0.333  0.667  0.750  2.41
Ag  0.000  0.000  0.000  0.01
Ag  0.000  0.000  0.500  0.01
F  0.686  0.595  0.118  0.07
F  0.909  0.314  0.118  0.07
F  0.314  0.909  0.618  0.07
F  0.091  0.686  0.882  0.07
F  0.405  0.314  0.382  0.07
F  0.909  0.595  0.382  0.07
F  0.595  0.909  0.882  0.07
F  0.686  0.091  0.382  0.07
F  0.091  0.405  0.618  0.07
F  0.405  0.091  0.118  0.07
F  0.595  0.686  0.618  0.07
F  0.314  0.405  0.882  0.07

***

Record 18
TlTcAg2F8 | PBE | optimized geometry

Values from the calculation:
Total energy ... -51.98 eV per cell
Raw formation energy ... -1.548 eV per atom
N(E_F) ... 10.10 states/eV per cell
Magnetic moment ... 1.905 μB/f.u.

Cell: 5.286 5.286 8.414 Å, 90.00 90.00 120.00°
Site moments in Bohr magnetons follow the coordinates.
Fractional coordinates of all 12 atoms:
Tl  0.000  0.000  0.500  0.00
Tc  0.000  0.000  0.000  1.76
Ag  0.667  0.333  0.265  -0.07
Ag  0.333  0.667  0.735  -0.07
F  0.835  0.670  0.860  0.05
F  0.330  0.165  0.860  0.05
F  0.835  0.165  0.860  0.05
F  0.165  0.330  0.140  0.05
F  0.670  0.835  0.140  0.05
F  0.165  0.835  0.140  0.05
F  0.667  0.333  0.516  -0.06
F  0.333  0.667  0.484  -0.06

***

Record 19
Y2TcAgF | PBE | optimized geometry

Values from the calculation:
Total energy ... -25.32 eV per cell
Raw formation energy ... 0.539 eV per atom
N(E_F) ... 6.47 states/eV per cell
Magnetic moment ... 2.433 μB/f.u.

Cell: 5.536 4.901 5.536 Å, 90.00 90.00 90.00°
Site moments in Bohr magnetons follow the coordinates.
Fractional coordinates of all 5 atoms:
Y  0.000  0.000  0.500  -0.05
Y  0.500  0.000  0.000  -0.09
Tc  0.000  0.500  0.000  2.20
Ag  0.000  0.000  0.000  0.07
F  0.500  0.500  0.500  0.03

***

Record 20
YTcAgF2 | PBE | optimized geometry

Values from the calculation:
Total energy ... -23.58 eV per cell
Raw formation energy ... -0.032 eV per atom
N(E_F) ... 2.59 states/eV per cell
Magnetic moment ... 2.998 μB/f.u.

Cell: 4.305 5.949 4.305 Å, 90.00 90.00 90.00°
Site moments in Bohr magnetons follow the coordinates.
Fractional coordinates of all 5 atoms:
Y  0.000  0.500  0.000  -0.16
Tc  0.500  0.500  0.500  2.59
Ag  0.000  0.000  0.000  0.05
F  0.000  0.000  0.500  0.04
F  0.500  0.000  0.000  0.04

***

Record 21
Ag2Te2F | PBE | optimized geometry

Values from the calculation:
Distance to the lowest polymorph of the same formula ... 0.0412 eV per atom
Total energy ... -32.21 eV per cell
Raw formation energy ... -0.450 eV per atom
N(E_F) ... 0.19 states/eV per cell
Magnetic moment ... 0.000 μB/f.u.

Cell: 4.949 6.171 8.232 Å, 91.45 90.32 98.72°
Fractional coordinates of all 10 atoms:
Te  0.048  0.843  0.722
Te  0.167  0.566  0.978
Te  0.454  0.986  0.187
Te  0.697  0.363  0.454
Ag  0.947  0.106  0.008
Ag  0.176  0.312  0.309
Ag  0.577  0.089  0.715
Ag  0.420  0.735  0.468
F  0.836  0.653  0.100
F  0.471  0.470  0.830

***

Record 22
Ag2TeF8 | PBE | optimized geometry

Values from the calculation:
Total energy ... -38.45 eV per cell
Raw formation energy ... -1.330 eV per atom
N(E_F) ... 6.02 states/eV per cell
Magnetic moment ... 0.000 μB/f.u.

Cell: 5.121 5.654 5.654 Å, 112.12 90.57 90.57°
Fractional coordinates of all 11 atoms:
Ag  0.000  0.351  0.649
Ag  0.000  0.649  0.351
Te  0.500  0.000  0.000
F  0.866  0.940  0.672
F  0.866  0.672  0.940
F  0.340  0.706  0.706
F  0.500  0.785  0.215
F  0.500  0.215  0.785
F  0.660  0.294  0.294
F  0.134  0.328  0.060
F  0.134  0.060  0.328